Record 1
VASP calculation (GGA-PBE) on crystalline YCu3Pd4 at its relaxed geometry.

Unit cell a=4.1968 b=7.0333 c=8.3945 alpha=90.00 beta=90.00 gamma=90.00
With the nearest neighbours (Å) after each atom.
Sites, in units of the cell vectors:
Pd: 0.5000 0.2267 0.0000  6 Cu 2.64-2.85, 2 Y 2.85
Pd: 0.5000 0.7733 0.0000  6 Cu 2.64-2.85, 2 Y 2.85
Pd: 0.0001 0.7733 0.2500  6 Cu 2.64-2.85, 2 Y 2.85
Y: 0.0000 0.5000 0.0000  8 Pd 2.85, 4 Cu 2.97
Cu: 0.0000 0.0000 0.5000  8 Pd 2.64
Cu: 0.4998 0.0000 0.7500  8 Pd 2.64
Y: 0.0000 0.5000 0.5000  8 Pd 2.85, 4 Cu 2.97
Cu: 0.5000 0.5000 0.7500  8 Pd 2.85, 4 Y 2.97
Cu: 0.0000 0.0000 0.0000  8 Pd 2.64
Pd: 0.5000 0.7733 0.5000  6 Cu 2.64-2.85, 2 Y 2.85
Pd: 0.9999 0.2267 0.7500  6 Cu 2.64-2.85, 2 Y 2.85
Cu: 0.5000 0.5000 0.2500  8 Pd 2.85, 4 Y 2.97
Pd: 0.0001 0.2267 0.2500  6 Cu 2.64-2.85, 2 Y 2.85
Pd: 0.5000 0.2267 0.5000  6 Cu 2.64-2.85, 2 Y 2.85
Cu: 0.5002 0.0000 0.2500  8 Pd 2.64
Pd: 0.9999 0.7733 0.7500  6 Cu 2.64-2.85, 2 Y 2.85

Output
Symmetry: No. 123
Density of states at the Fermi level: 0.27 states/eV/atom
Electronic total energy: -85.51 eV per cell
Crystal system: tetragonal
DFT formation energy: -0.4036 eV per atom

Record 2
VASP calculation (GGA-PBE) on crystalline YCuPd at its relaxed geometry.

Unit cell a=4.2698 b=5.6016 c=5.6469 alpha=75.69 beta=67.79 gamma=67.60
With the nearest neighbours (Å) after each atom.
Sites, in units of the cell vectors:
Cu: 0.1516 0.7995 0.8973  1 Cu 2.45, 2 Pd 2.55
Pd: 0.1701 0.3808 0.2790  3 Cu 2.55-2.76, 1 Pd 2.75
Y: 0.5466 0.2056 0.7012  5 Cu 2.99-3.13, 6 Pd 3.03-3.26
Cu: 0.8484 0.2005 0.1027  1 Cu 2.45, 2 Pd 2.55
Y: 0.4534 0.7944 0.2988  5 Cu 2.99-3.13, 6 Pd 3.03-3.26
Pd: 0.8299 0.6192 0.7210  3 Cu 2.55-2.76, 1 Pd 2.75

Output
Distance to the lowest polymorph of the same formula: 2 meV per atom
Symmetry: No. 12
Density of states at the Fermi level: 0.44 states/eV/atom
Electronic total energy: -35.05 eV per cell
Crystal system: monoclinic
DFT formation energy: -0.5907 eV per atom